Entry 1:
Compound: Na5Sn2F12
Source: the Alexandria database
Functional: PBE-GGA
Structure: relaxed

CIF file:
```
data_Na5Sn2F12
_symmetry_space_group_name_H-M 'C 1 2/m 1'
_symmetry_Int_Tables_number 12
_cell_length_a 11.712
_cell_length_b 7.889
_cell_length_c 6.720
_cell_angle_alpha 90.00
_cell_angle_beta 119.14
_cell_angle_gamma 90.00
loop_
_symmetry_equiv_pos_as_xyz
'x,y,z'
'-x,-y,-z'
'-x,y,-z'
'x,-y,z'
'x+1/2,y+1/2,z'
'-x+1/2,-y+1/2,-z'
'-x+1/2,y+1/2,-z'
'x+1/2,-y+1/2,z'
loop_
_atom_site_label
_atom_site_type_symbol
_atom_site_fract_x
_atom_site_fract_y
_atom_site_fract_z
_atom_site_occupancy
Na1 Na 0.000 0.000 0.000 1
Na2 Na 0.183 0.500 0.002 1
Na3 Na 0.248 0.000 0.464 1
Sn1 Sn 0.000 0.249 0.500 1
F1 F 0.027 0.500 0.339 1
F2 F 0.074 0.186 0.283 1
F3 F 0.117 0.000 0.664 1
F4 F 0.191 0.316 0.748 1
```

Results
Crystal system   monoclinic
Total DFT energy (no corrections)   -4.480 eV/atom

Entry 2:
Compound: Na2SnF
Source: the Alexandria database
Functional: PBE-GGA
Structure: relaxed

CIF file:
```
data_Na2SnF
_symmetry_space_group_name_H-M 'F m -3 m'
_symmetry_Int_Tables_number 225
_symmetry_space_group_name_Hall '-F 4 2 3'
_cell_length_a 7.282
_cell_length_b 7.282
_cell_length_c 7.282
_cell_angle_alpha 90.00
_cell_angle_beta 90.00
_cell_angle_gamma 90.00
loop_
_atom_site_label
_atom_site_type_symbol
_atom_site_fract_x
_atom_site_fract_y
_atom_site_fract_z
_atom_site_occupancy
Na1 Na 0.250 0.250 0.250 1
Sn1 Sn 0.000 0.000 0.000 1
F1 F 0.000 0.000 0.500 1
```

Results
Energy above the most stable polymorph in this dataset   0.792 eV/atom
Crystal system   cubic

The calculation returns the following density values, one per record and in order: 3.55 3.16 g/cm³.
The calculation returns the following size of the total moment values, one per record and in order: 0.00 0.01 Bohr magnetons per cell.